1.
# Sb2TeMoI

A relaxed Sb2TeMoI crystal (GGA-PBE, Alexandria).

Properties
SG = P4/mmm (123)
N(E_F) = 4.192 states/eV/cell
Distance to the lowest polymorph of the same formula = 195 meV/atom
Raw formation energy = 0.49 eV per atom
Total magnetization = 0.00 μB per formula unit

Lattice parameters (Å, degrees): 5.3477 5.3477 5.2173 90.00 90.00 90.00
Closest atoms and distances in Å follow each position.
Positions (direct):
I: 0.0000 0.0000 0.5000  2 Mo 2.61
Sb: 0.0000 0.5000 0.0000  2 Mo 2.67
Sb: 0.5000 0.0000 0.0000  2 Mo 2.67
Mo: 0.0000 0.0000 0.0000  2 I 2.61, 4 Sb 2.67
Te: 0.5000 0.5000 0.5000  8 Sb 3.74, 4 I 3.78

---

2.
# TiSbMoI2

A relaxed TiSbMoI2 crystal (GGA-PBE, Alexandria).

Properties
SG = P4/mmm (123)
N(E_F) = 2.800 states/eV/cell
Distance to the lowest polymorph of the same formula = 0 meV/atom
Raw formation energy = 0.81 eV per atom
Total magnetization = 5.07 μB per formula unit

Lattice parameters (Å, degrees): 5.3684 5.3684 5.5950 90.00 90.00 90.00
Closest atoms and distances in Å follow each position.
Positions (direct):
I: 0.0000 0.5000 0.0000  2 Ti 2.68
I: 0.5000 0.0000 0.0000  2 Ti 2.68
Sb: 0.0000 0.0000 0.5000  2 Ti 2.80
Mo: 0.5000 0.5000 0.5000  4 Sb 3.80, 8 I 3.88
Ti: 0.0000 0.0000 0.0000  4 I 2.68, 2 Sb 2.80

---

3.
# TiSb2MoI

A relaxed TiSb2MoI crystal (GGA-PBE, Alexandria).

Properties
SG = P4/mmm (123)
N(E_F) = 8.004 states/eV/cell
Distance to the lowest polymorph of the same formula = 0 meV/atom
Raw formation energy = 0.85 eV per atom
Total magnetization = 3.69 μB per formula unit

Lattice parameters (Å, degrees): 5.1895 5.1895 5.7614 90.00 90.00 90.00
Closest atoms and distances in Å follow each position.
Positions (direct):
I: 0.0000 0.0000 0.5000  2 Mo 2.88
Sb: 0.0000 0.5000 0.0000  2 Mo 2.59
Sb: 0.5000 0.0000 0.0000  2 Mo 2.59
Mo: 0.0000 0.0000 0.0000  4 Sb 2.59, 2 I 2.88
Ti: 0.5000 0.5000 0.5000  4 I 3.67, 8 Sb 3.88

---

4.
# TlSbMoI2

A relaxed TlSbMoI2 crystal (GGA-PBE, Alexandria).

Properties
SG = P4/mmm (123)
N(E_F) = 2.370 states/eV/cell
Distance to the lowest polymorph of the same formula = 946 meV/atom
Raw formation energy = 1.18 eV per atom
Total magnetization = 3.25 μB per formula unit

Lattice parameters (Å, degrees): 6.1536 6.1536 5.7776 90.00 90.00 90.00
Closest atoms and distances in Å follow each position.
Positions (direct):
I: 0.0000 0.5000 0.0000  2 Tl 3.08
I: 0.5000 0.0000 0.0000  2 Tl 3.08
Sb: 0.0000 0.0000 0.5000  2 Tl 2.89
Tl: 0.0000 0.0000 0.0000  2 Sb 2.89, 4 I 3.08
Mo: 0.5000 0.5000 0.5000  8 I 4.22, 4 Sb 4.35

---

5.
# TlSbMoI2

A relaxed TlSbMoI2 crystal (GGA-PBE, Alexandria).

Properties
SG = P4/mmm (123)
N(E_F) = 1.581 states/eV/cell
Distance to the lowest polymorph of the same formula = 0 meV/atom
Raw formation energy = 0.23 eV per atom
Total magnetization = 1.89 μB per formula unit

Lattice parameters (Å, degrees): 5.8352 5.8352 5.2531 90.00 90.00 90.00
Closest atoms and distances in Å follow each position.
Positions (direct):
I: 0.0000 0.5000 0.0000  2 Mo 2.92
I: 0.5000 0.0000 0.0000  2 Mo 2.92
Sb: 0.0000 0.0000 0.5000  2 Mo 2.63
Tl: 0.5000 0.5000 0.5000  8 I 3.93, 4 Sb 4.13
Mo: 0.0000 0.0000 0.0000  2 Sb 2.63, 4 I 2.92

---

6.
# VSb2MoI

A relaxed VSb2MoI crystal (GGA-PBE, Alexandria).

Properties
SG = P4/mmm (123)
N(E_F) = 3.064 states/eV/cell
Distance to the lowest polymorph of the same formula = 0 meV/atom
Raw formation energy = 1.03 eV per atom
Total magnetization = 5.57 μB per formula unit

Lattice parameters (Å, degrees): 5.0700 5.0700 5.7052 90.00 90.00 90.00
Closest atoms and distances in Å follow each position.
Positions (direct):
I: 0.0000 0.0000 0.5000  2 V 2.85
Sb: 0.0000 0.5000 0.0000  2 V 2.53
Sb: 0.5000 0.0000 0.0000  2 V 2.53
Mo: 0.5000 0.5000 0.5000  4 I 3.59, 8 Sb 3.82
V: 0.0000 0.0000 0.0000  4 Sb 2.53